Record 1
DFT (GGA-PBE) results for an optimized crystal structure of Sm8Dy6In.

abc: 6.504 9.323 9.323
angles: 120.00 90.00 90.00
Positions (direct):
Sm (0.820, 0.040, 0.271)
Sm (0.820, 0.729, 0.769)
Sm (0.820, 0.231, 0.960)
Sm (0.180, 0.960, 0.729)
Sm (0.180, 0.271, 0.231)
Sm (0.180, 0.769, 0.040)
Sm (0.851, 0.333, 0.667)
Sm (0.149, 0.667, 0.333)
Dy (0.668, 0.648, 0.096)
Dy (0.668, 0.904, 0.553)
Dy (0.668, 0.447, 0.352)
Dy (0.332, 0.352, 0.904)
Dy (0.332, 0.096, 0.447)
Dy (0.332, 0.553, 0.648)
In (0.500, 0.000, 0.000)

ΔE_f = 0.08 eV per atom
Volume = 490 Å³/cell
Magnetization = 0.00 μB/cell
Density of states at the Fermi level = 20.8 states/eV per cell



Record 2
DFT (GGA-PBE) results for an optimized crystal structure of SrZn4Si2.

abc: 4.167 4.231 7.519
angles: 106.34 90.00 90.00
Positions (direct):
Sr (0.000, 0.000, 0.000)
Zn (0.500, 0.817, 0.635)
Zn (0.000, 0.691, 0.382)
Zn (0.500, 0.183, 0.365)
Zn (0.000, 0.309, 0.618)
Si (0.500, 0.586, 0.173)
Si (0.500, 0.414, 0.827)

Volume = 127 Å³/cell
Energy above the most stable polymorph in this dataset = 0.00 eV per formula unit
Magnetization = 0.00 μB/cell
Density of states at the Fermi level = 2.2 states/eV per cell



Record 3
DFT (GGA-PBE) results for an optimized crystal structure of Ho2ScCo9.

abc: 4.901 4.901 8.591
angles: 73.43 73.43 60.00
Last column: magnetic moment on the atom in μB.
Positions (direct):
Ho (0.861, 0.861, 0.416)  -0.42
Ho (0.139, 0.139, 0.584)  -0.42
Sc (0.000, 0.000, 0.000)  -0.29
Co (0.665, 0.665, 0.004)  1.47
Co (0.335, 0.335, 0.996)  1.47
Co (0.500, 0.500, 0.500)  1.14
Co (0.418, 0.418, 0.242)  1.32
Co (0.922, 0.418, 0.242)  1.32
Co (0.418, 0.922, 0.242)  1.32
Co (0.582, 0.582, 0.758)  1.32
Co (0.582, 0.078, 0.758)  1.32
Co (0.078, 0.582, 0.758)  1.32

ΔE_f = -0.18 eV per atom
Volume = 169 Å³/cell
Magnetization = 10.58 μB/cell
Density of states at the Fermi level = 15.4 states/eV per cell



Record 4
DFT (GGA-PBE) results for an optimized crystal structure of Nd2ErSn.

abc: 5.520 5.520 5.520
angles: 60.00 60.00 60.00
Positions (direct):
Nd (0.250, 0.250, 0.250)
Nd (0.750, 0.750, 0.750)
Sn (0.500, 0.500, 0.500)
Er (0.000, 0.000, 0.000)

ΔE_f = -0.26 eV per atom
Volume = 119 Å³/cell
Energy above the most stable polymorph in this dataset = 0.67 eV per formula unit
Magnetization = 0.00 μB/cell
Density of states at the Fermi level = 6.4 states/eV per cell